# Pm2UFeO8

An optimized crystal structure of Pm2UFeO8 (PBE+U, the Alexandria database).

Cell: 3.952 5.385 7.799 Å, 98.37 87.81 97.33°
Last column: magnetic moment on the atom in μB.
Fractional coordinates of all 12 atoms:
Pm  0.509  0.467  0.738  0.01
Pm  0.491  0.533  0.262  0.01
U  0.000  0.000  0.000  0.01
Fe  0.000  0.000  0.500  3.78
O  0.041  0.818  0.276  0.01
O  0.549  0.775  0.026  0.00
O  0.949  0.282  0.193  0.00
O  0.959  0.182  0.724  0.01
O  0.451  0.225  0.974  0.00
O  0.051  0.718  0.807  0.00
O  0.625  0.764  0.533  0.05
O  0.375  0.236  0.467  0.05

Computed properties:
Final energy ... -8.218 eV per atom